This record from Alexandria describes a geometry-optimized CoF3 structure. The functional is PBE+U.

a b c (Å): 6.489 6.489 6.489
angles (deg): 29.15 29.15 29.15
Site moments in Bohr magnetons follow the coordinates.
Positions (direct):
F: 0.880 0.880 0.880  0.16
F: 0.000 0.000 0.000  0.73
F: 0.120 0.120 0.120  0.16
Co: 0.500 0.500 0.500  2.81

Output
**SG**: R-3m (166)
**Crystal system**: trigonal
**Magnetic moment**: 1.00 μB/atom
**Electronic total energy**: -4.0036 eV per atom